1.
VASP calculation (PBE-GGA) on K3Dy3HfS8 after structural relaxation.

Results
**Space-group type**: R-3m
**Formation energy (no corrections)**: -27.6 eV/f.u.

```
15
Lattice="-7.453 -1.457 -2.228 5.880 -4.622 -2.591 -2.339 -0.914 8.422" Properties=species:S:1:pos:R:3 pbc="T T T"
S -0.666 -2.999 4.189
Dy 1.771 -2.768 2.916
S 2.443 -5.442 2.819
Dy -4.896 -1.186 3.097
K 2.940 -2.311 -1.295
K 0.000 0.000 0.000
Dy -1.956 -3.496 1.802
S -3.246 -3.994 -0.586
K -0.787 -3.039 -2.409
S -2.414 -0.781 1.962
S -4.360 -3.870 3.058
S 0.447 -3.123 0.545
S -1.498 -6.212 1.641
S -6.355 -1.551 0.784
Hf -1.170 -0.457 4.211
```



2.
VASP calculation (PBE-GGA) on K2Dy2HfS6 after structural relaxation.

Results
**Space-group type**: C2/m
**Formation energy (no corrections)**: -20.0 eV/f.u.

```
11
Lattice="6.762 0.004 0.057 -3.338 5.880 0.057 -1.225 -2.105 7.492" Properties=species:S:1:pos:R:3 pbc="T T T"
K 5.046 1.002 0.057
S -1.679 0.781 5.224
Dy -0.582 2.868 3.803
Hf -0.612 -1.053 3.746
Dy 2.781 0.911 3.803
K -1.623 4.882 0.057
S 1.509 -1.074 5.224
S 0.690 4.853 2.382
S 1.730 2.974 5.276
S 0.468 0.805 2.330
S 3.878 2.998 2.382
```



3.
VASP calculation (PBE-GGA) on K3Dy2HfS6 after structural relaxation.

Results
**Space-group type**: C2/m
**Formation energy (no corrections)**: -20.7 eV/f.u.

```
12
Lattice="-2.331 4.303 4.745 -3.841 -5.259 -2.015 5.051 -3.886 4.368" Properties=species:S:1:pos:R:3 pbc="T T T"
S -0.504 -2.335 6.679
Hf 0.000 0.000 0.000
S -3.619 -1.500 2.930
S -0.616 -2.508 0.421
K -0.062 0.734 5.780
K -0.560 -2.421 3.550
K -1.059 -5.576 1.319
S 2.498 -3.342 4.169
Dy -3.337 -2.069 0.241
Dy -2.835 1.113 2.490
S -0.138 0.519 2.561
S -0.982 -5.361 4.539
```



4.
VASP calculation (PBE-GGA) on K4Dy3HfS8 after structural relaxation.

Results
**Space-group type**: R-3m
**Formation energy (no corrections)**: -28.2 eV/f.u.

```
16
Lattice="7.932 0.000 0.000 0.000 8.665 0.510 -3.966 -3.962 5.612" Properties=species:S:1:pos:R:3 pbc="T T T"
Hf 0.000 4.333 0.255
K -1.983 -1.981 2.806
S 3.966 0.428 3.241
Dy -1.983 2.352 3.061
S 6.046 2.505 0.298
Dy 1.983 2.352 3.061
S 3.966 4.251 3.001
S 0.000 0.452 3.122
S 1.887 2.505 0.298
S 2.079 2.198 5.824
S -2.079 2.198 5.824
K 3.966 0.000 0.000
K 1.983 -1.981 2.806
Dy 3.966 4.333 0.255
K 0.000 0.000 0.000
S 0.000 4.276 2.882
```



5.
VASP calculation (PBE-GGA) on K2Dy2HfSe6 after structural relaxation.

Results
**Space-group type**: C2/m
**Formation energy (no corrections)**: -18.2 eV/f.u.

```
11
Lattice="-4.101 -2.864 -4.935 5.561 -3.569 2.390 -4.976 -1.025 6.465" Properties=species:S:1:pos:R:3 pbc="T T T"
K -2.455 -2.984 -3.686
Se -1.146 -1.899 1.328
Dy -3.372 -3.611 0.737
Se -1.625 -2.288 5.096
Se -1.892 -5.170 -1.175
Dy -0.145 -3.847 3.184
Hf -2.488 -0.513 3.233
Se -4.669 -2.066 2.788
Se -2.371 -5.559 2.593
K 3.914 -3.449 1.142
Se 1.153 -5.392 1.133
```



6.
VASP calculation (PBE-GGA) on K3Dy3HfSe8 after structural relaxation.

Results
**Space-group type**: R-3m
**Formation energy (no corrections)**: -25.2 eV/f.u.

```
15
Lattice="8.225 0.000 0.000 -4.112 7.122 -0.029 0.000 -4.717 7.863" Properties=species:S:1:pos:R:3 pbc="T T T"
Se 0.000 -0.101 5.461
K 2.056 3.561 -0.015
K 0.000 0.000 0.000
Se 6.275 -1.240 2.388
Se 2.163 3.644 5.445
Hf 0.000 -2.359 3.931
Dy -2.056 1.202 3.917
Se 0.000 2.383 2.305
Se 4.112 2.506 2.373
Se 1.949 -1.240 2.388
Dy 4.112 -2.359 3.931
Dy 2.056 1.202 3.917
Se -2.163 3.644 5.445
Se 4.112 0.022 5.528
K -2.056 3.561 -0.015
```



7.
VASP calculation (PBE-GGA) on K3Dy2HfSe6 after structural relaxation.

Results
**Space-group type**: C2/m
**Formation energy (no corrections)**: -19.0 eV/f.u.

```
12
Lattice="7.097 -0.001 -0.001 -3.548 6.147 -0.001 -1.185 -2.052 7.709" Properties=species:S:1:pos:R:3 pbc="T T T"
Se -1.128 1.953 1.569
K -2.325 4.072 3.853
Dy 0.005 4.095 -0.001
Se -0.059 -0.102 6.131
Dy 3.544 2.050 -0.001
Se 2.255 -0.001 1.569
Se 0.109 4.095 6.137
Se 3.492 2.141 6.137
Se 2.423 4.195 1.576
Hf 0.000 0.000 0.000
K 4.689 0.021 3.853
K 1.182 2.047 3.853
```



8.
VASP calculation (PBE-GGA) on K4Dy3HfSe8 after structural relaxation.

Results
**Space-group type**: R-3m
**Formation energy (no corrections)**: -26.0 eV/f.u.

```
16
Lattice="8.256 0.000 0.000 0.000 9.039 0.545 -4.128 -4.124 5.840" Properties=species:S:1:pos:R:3 pbc="T T T"
K 4.128 0.000 0.000
Se 6.284 2.590 0.303
K 0.000 0.000 0.000
K 2.064 -2.062 2.920
Se 0.000 0.458 3.240
Se 2.156 2.326 6.082
Hf 0.000 4.520 0.273
Se 0.000 4.480 3.031
K -2.064 -2.062 2.920
Se -2.156 2.326 6.082
Se 4.128 0.435 3.354
Dy 4.128 4.520 0.273
Dy 2.064 2.458 3.193
Se 1.972 2.590 0.303
Dy -2.064 2.458 3.193
Se 4.128 4.457 3.146
```